Computed, not measured: an optimized crystal structure of Ca2MnVO6 at the PBE+U level of DFT.

Lattice parameters (Å, degrees): 5.429 5.548 7.502 90.00 90.59 90.00
Sites, in units of the cell vectors:
Ca1 0.009 0.951 0.250
Ca2 0.509 0.549 0.750
Ca3 0.991 0.049 0.750
Ca4 0.491 0.451 0.250
Mn1 0.500 0.000 0.000
Mn2 0.000 0.500 0.500
V1 0.500 0.000 0.500
V2 0.000 0.500 0.000
O1 0.279 0.697 0.043
O2 0.779 0.803 0.543
O3 0.721 0.303 0.957
O4 0.221 0.197 0.457
O5 0.305 0.722 0.456
O6 0.805 0.778 0.956
O7 0.695 0.278 0.544
O8 0.195 0.222 0.044
O9 0.917 0.523 0.250
O10 0.417 0.977 0.750
O11 0.083 0.477 0.750
O12 0.583 0.023 0.250

## Properties
E_tot: -7.19 eV per atom
Space group: No. 14
Magnetic moment: 8.00 μB per cell